Er3Sc8: relaxed, PBE-GGA.

The space group is C2/m (No. 12) and the conventional cell measures 9.384, 12.397 and 5.933 Å, with angles of 90.00, 121.17 and 90.00 degrees. The inequivalent atoms are Er at (0.000, 0.000, 0.000), Er at (0.250, 0.250, 0.000), Sc at (0.000, 0.122, 0.500), Sc at (0.144, 0.368, 0.440) and Sc at (0.167, 0.500, 0.997).

The value obtained for the excess energy over the best structure of this formula in the dataset is 0.0 kJ/mol of atoms. The formation energy comes out at 0.160 eV per atom.



Er3Sc: relaxed, PBE-GGA.

The space group is Imm2 (No. 44) and the conventional cell measures 3.523, 10.928 and 6.080 Å, with angles of 90.00, 90.00 and 90.00 degrees. The inequivalent atoms are Er at (0.000, 0.000, 0.000), Er at (0.000, 0.246, 0.661) and Sc at (0.000, 0.500, 0.995).

The value obtained for the excess energy over the best structure of this formula in the dataset is 0.3 kJ/mol of atoms. The formation energy comes out at 0.015 eV per atom.



Er3Sc5: relaxed, PBE-GGA.

The space group is Pmm2 (No. 25) and the conventional cell measures 3.422, 5.318 and 11.802 Å, with angles of 90.00, 90.00 and 90.00 degrees. The inequivalent atoms are Er at (0.000, 0.000, 0.000), Er at (0.000, 0.500, 0.177), Er at (0.500, 0.000, 0.268), Sc at (0.000, 0.000, 0.516), Sc at (0.000, 0.500, 0.676), Sc at (0.500, 0.000, 0.752), Sc at (0.500, 0.500, 0.436) and Sc at (0.500, 0.500, 0.915).

The formation energy comes out at 0.021 eV per atom.



Er5Sc: relaxed, PBE-GGA.

The space group is C2/m (No. 12) and the conventional cell measures 10.951, 4.902 and 6.935 Å, with angles of 90.00, 108.41 and 90.00 degrees. The inequivalent atoms are Er at (0.000, 0.000, 0.000), Er at (0.164, 0.500, 0.830), Er at (0.167, 0.500, 0.335) and Sc at (0.000, 0.000, 0.500).

The formation energy comes out at 0.037 eV per atom.



ErSc6Se8: relaxed, PBE-GGA.

The space group is Fm-3m (No. 225) and the conventional cell measures 10.949, 10.949 and 10.949 Å, with angles of 90.00, 90.00 and 90.00 degrees. The inequivalent atoms are Er at (0.000, 0.000, 0.000), Sc at (0.000, 0.250, 0.250), Se at (0.000, 0.000, 0.259) and Se at (0.250, 0.250, 0.250).

Its formation energy from raw total energies is -1.69 eV per atom.



ErScSe3: relaxed, PBE-GGA.

The space group is P2_1/m (No. 11) and the conventional cell measures 7.727, 3.922 and 8.029 Å, with angles of 90.00, 96.07 and 90.00 degrees. The inequivalent atoms are Er at (0.121, 0.250, 0.273), Sc at (0.353, 0.750, 0.826), Se at (0.124, 0.250, 0.892), Se at (0.193, 0.750, 0.527) and Se at (0.401, 0.750, 0.177).

The value obtained for the excess energy over the best structure of this formula in the dataset is 0.3 kJ/mol of atoms. Its formation energy from raw total energies is -1.74 eV per atom.



Er5Sc3Se8: relaxed, PBE-GGA.

The space group is R-3m (No. 166, hexagonal axes) and the conventional cell measures 7.9724, 7.9724 and 19.4493 Å, with angles of 90.00, 90.00 and 120.00 degrees. The inequivalent atoms are Er at (0.0000, 0.0000, 0.0000), Er at (0.0000, 0.0000, 0.5000), Er at (0.0000, 0.5000, 0.0000), Sc at (0.0000, 0.5000, 0.5000), Se at (0.0000, 0.0000, 0.2462) and Se at (0.0052, 0.5026, 0.7526).

Its formation energy from raw total energies is -1.65 eV per atom.



ErScSe3: relaxed, PBE-GGA.

The space group is P2_1/m (No. 11) and the conventional cell measures 6.761, 3.986 and 10.181 Å, with angles of 90.00, 100.84 and 90.00 degrees. The inequivalent atoms are Er at (0.142, 0.250, 0.149), Sc at (0.268, 0.250, 0.518), Se at (0.052, 0.750, 0.353), Se at (0.248, 0.750, 0.994) and Se at (0.473, 0.750, 0.658).

The value obtained for the excess energy over the best structure of this formula in the dataset is 0.0 kJ/mol of atoms. Its formation energy from raw total energies is -1.75 eV per atom.



ErSc5Se6: relaxed, PBE-GGA.

The space group is C2/m (No. 12) and the conventional cell measures 6.737, 11.726 and 6.772 Å, with angles of 90.00, 109.45 and 90.00 degrees. The inequivalent atoms are Er at (0.000, 0.000, 0.000), Sc at (0.000, 0.161, 0.500), Sc at (0.000, 0.334, 0.000), Sc at (0.000, 0.500, 0.500), Se at (0.243, 0.500, 0.251) and Se at (0.245, 0.329, 0.745).

Its formation energy from raw total energies is -1.61 eV per atom.



Er3ScSe4: relaxed, PBE-GGA.

The space group is Pmn2_1 (No. 31) and the conventional cell measures 8.385, 7.507 and 7.409 Å, with angles of 90.00, 90.00 and 90.00 degrees. The inequivalent atoms are Er at (0.000, 0.184, 0.000), Er at (0.245, 0.394, 0.583), Sc at (0.000, 0.794, 0.507), Se at (0.000, 0.143, 0.629), Se at (0.000, 0.836, 0.152) and Se at (0.247, 0.737, 0.723).

The value obtained for the excess energy over the best structure of this formula in the dataset is 35.4 kJ/mol of atoms. Its formation energy from raw total energies is -1.29 eV per atom.



Er2ScSe4: relaxed, PBE-GGA.

The space group is Cmcm (No. 63) and the conventional cell measures 3.859, 13.240 and 13.599 Å, with angles of 90.00, 90.00 and 90.00 degrees. The inequivalent atoms are Er at (0.000, 0.131, 0.074), Sc at (0.000, 0.369, 0.250), Se at (0.000, 0.019, 0.250), Se at (0.000, 0.220, 0.624) and Se at (0.000, 0.500, 0.000).

The value obtained for the excess energy over the best structure of this formula in the dataset is 8.2 kJ/mol of atoms. Its formation energy from raw total energies is -1.72 eV per atom.



Er4ScSe5: relaxed, PBE-GGA.

The space group is R-3m (No. 166, hexagonal axes) and the conventional cell measures 4.0169, 4.0169 and 48.7850 Å, with angles of 90.00, 90.00 and 120.00 degrees. The inequivalent atoms are Er at (0.0000, 0.0000, 0.1018), Er at (0.0000, 0.0000, 0.2995), Sc at (0.0000, 0.0000, 0.5000), Se at (0.0000, 0.0000, 0.0000), Se at (0.0000, 0.0000, 0.1976) and Se at (0.0000, 0.0000, 0.4012).

The value obtained for the excess energy over the best structure of this formula in the dataset is 0.0 kJ/mol of atoms. Its formation energy from raw total energies is -1.67 eV per atom.



Er2ScSe: relaxed, PBE-GGA.

The space group is R-3m (No. 166, hexagonal axes) and the conventional cell measures 3.6310, 3.6310 and 29.7429 Å, with angles of 90.00, 90.00 and 120.00 degrees. The inequivalent atoms are Er at (0.0000, 0.0000, 0.1050), Sc at (0.0000, 0.0000, 0.0000) and Se at (0.0000, 0.0000, 0.5000).

The value obtained for the excess energy over the best structure of this formula in the dataset is 30.4 kJ/mol of atoms. Its formation energy from raw total energies is -0.44 eV per atom.



Er2ScSe: relaxed, PBE-GGA.

The space group is R3m (No. 160, hexagonal axes) and the conventional cell measures 3.6994, 3.6994 and 27.1687 Å, with angles of 90.00, 90.00 and 120.00 degrees. The inequivalent atoms are Er at (0.0000, 0.0000, 0.0000), Er at (0.0000, 0.0000, 0.1945), Sc at (0.0000, 0.0000, 0.7645) and Se at (0.0000, 0.0000, 0.5973).

The value obtained for the excess energy over the best structure of this formula in the dataset is 0.0 kJ/mol of atoms. Its formation energy from raw total energies is -0.76 eV per atom.



Er2Sc3Se6: relaxed, PBE-GGA.

The space group is C2/m (No. 12) and the conventional cell measures 6.787, 11.705 and 6.842 Å, with angles of 90.00, 109.32 and 90.00 degrees. The inequivalent atoms are Er at (0.000, 0.165, 0.000), Sc at (0.000, 0.000, 0.500), Sc at (0.000, 0.334, 0.500), Se at (0.241, 0.500, 0.744) and Se at (0.249, 0.336, 0.258).

The value obtained for the excess energy over the best structure of this formula in the dataset is 0.0 kJ/mol of atoms. Its formation energy from raw total energies is -1.76 eV per atom.



Er4ScSe5: relaxed, PBE-GGA.

The space group is I4 (No. 79) and the conventional cell measures 8.947, 8.947 and 5.685 Å, with angles of 90.00, 90.00 and 90.00 degrees. The inequivalent atoms are Er at (0.096, 0.697, 0.000), Sc at (0.000, 0.000, 0.501), Se at (0.000, 0.000, 0.001) and Se at (0.100, 0.708, 0.500).

The value obtained for the excess energy over the best structure of this formula in the dataset is 0.2 kJ/mol of atoms. Its formation energy from raw total energies is -1.67 eV per atom.



ErSc3Se: relaxed, PBE-GGA.

The space group is Imma (No. 74) and the conventional cell measures 7.255, 9.664 and 7.360 Å, with angles of 90.00, 90.00 and 90.00 degrees. The inequivalent atoms are Er at (0.000, 0.250, 0.034), Sc at (0.000, 0.250, 0.485), Sc at (0.250, 0.021, 0.250) and Se at (0.250, 0.250, 0.750).

Its formation energy from raw total energies is -0.49 eV per atom.



ErSc3Se2: relaxed, PBE-GGA.

The space group is C2/m (No. 12) and the conventional cell measures 15.059, 3.757 and 10.117 Å, with angles of 90.00, 109.39 and 90.00 degrees. The inequivalent atoms are Er at (0.122, 0.000, 0.040), Sc at (0.060, 0.000, 0.404), Sc at (0.125, 0.500, 0.675), Sc at (0.218, 0.500, 0.377), Se at (0.017, 0.500, 0.174) and Se at (0.230, 0.000, 0.852).

Its formation energy from raw total energies is -1.03 eV per atom.



ErSc3Se6: relaxed, PBE-GGA.

The space group is P2_1/m (No. 11) and the conventional cell measures 11.182, 3.914 and 11.370 Å, with angles of 90.00, 109.76 and 90.00 degrees. The inequivalent atoms are Er at (0.047, 0.250, 0.198), Sc at (0.159, 0.250, 0.586), Sc at (0.316, 0.750, 0.001), Sc at (0.437, 0.250, 0.336), Se at (0.081, 0.750, 0.407), Se at (0.115, 0.250, 0.967), Se at (0.200, 0.750, 0.751), Se at (0.261, 0.750, 0.228), Se at (0.392, 0.250, 0.560) and Se at (0.476, 0.250, 0.115).

Its formation energy from raw total energies is -1.71 eV per atom.



Er3Sc2Se6: relaxed, PBE-GGA.

The space group is R-3m (No. 166, hexagonal axes) and the conventional cell measures 3.9603, 3.9603 and 59.6142 Å, with angles of 90.00, 90.00 and 120.00 degrees. The inequivalent atoms are Er at (0.0000, 0.0000, 0.0000), Er at (0.0000, 0.0000, 0.2773), Sc at (0.0000, 0.0000, 0.4480), Se at (0.0000, 0.0000, 0.0853), Se at (0.0000, 0.0000, 0.1967) and Se at (0.0000, 0.0000, 0.3616).

Its formation energy from raw total energies is -1.67 eV per atom.



Er2ScSe3: relaxed, PBE-GGA.

The space group is Immm (No. 71) and the conventional cell measures 4.000, 5.634 and 11.937 Å, with angles of 90.00, 90.00 and 90.00 degrees. The inequivalent atoms are Er at (0.000, 0.000, 0.170), Sc at (0.000, 0.000, 0.500), Se at (0.000, 0.500, 0.160) and Se at (0.000, 0.500, 0.500).

Its formation energy from raw total energies is -1.65 eV per atom.



Er2Sc3Se6: relaxed, PBE-GGA.

The space group is R-3m (No. 166, hexagonal axes) and the conventional cell measures 3.9860, 3.9860 and 58.5565 Å, with angles of 90.00, 90.00 and 120.00 degrees. The inequivalent atoms are Er at (0.0000, 0.0000, 0.0557), Sc at (0.0000, 0.0000, 0.2179), Sc at (0.0000, 0.0000, 0.5000), Se at (0.0000, 0.0000, 0.1406), Se at (0.0000, 0.0000, 0.3024) and Se at (0.0000, 0.0000, 0.4213).

The value obtained for the excess energy over the best structure of this formula in the dataset is 7.8 kJ/mol of atoms. Its formation energy from raw total energies is -1.68 eV per atom.



Total moment values, unit μB/f.u., following the record order: 0.00, 0.01, 0.33, 0.00, 0.00, 0.00, 0.00, 0.00, 0.00, 2.66, 0.00, 0.00, 0.75, 0.00, 0.00, 0.00, 0.00, 0.00, 0.00, 0.00, 0.00, 0.00.